Material: Ac2ZnSi3
Method: DFT, PBE
State: relaxed

Unit cell a=4.256 b=4.659 c=7.201 alpha=90.00 beta=90.00 gamma=90.00
Space group Pmm2 (No. 25)
One atom of each set of equivalent atoms:
Ac 0.000 0.000 0.000 x1
Ac 0.500 0.000 0.488 x1
Zn 0.000 0.500 0.665 x1
Si 0.000 0.500 0.325 x1
Si 0.500 0.500 0.162 x1
Si 0.500 0.500 0.829 x1

## Properties
Total moment   0.000 μB per atom
Crystal system   orthorhombic
Electronic total energy   -0.359 Ry per atom